# BeGeSeN2

Crystalline BeGeSeN2 at its relaxed geometry (PBE, the Alexandria database).

Unit cell a=3.565 b=3.565 c=5.396 alpha=90.00 beta=90.00 gamma=90.00
Space group P4/mmm (No. 123)
Unique sites:
Be: 0.000 0.000 0.000 [1 per cell]
Ge: 0.500 0.500 0.500 [1 per cell]
Se: 0.000 0.000 0.500 [1 per cell]
N: 0.000 0.500 0.000 [2 per cell]

Properties
Energy above the most stable polymorph in this dataset   0.000 eV/f.u.
Energy relative to the elements, uncorrected   1.113 eV/atom

# Be2SiGeN

Crystalline Be2SiGeN at its relaxed geometry (PBE, the Alexandria database).

Unit cell a=4.536 b=4.536 c=3.409 alpha=90.00 beta=90.00 gamma=90.00
Space group P4/mmm (No. 123)
Unique sites:
Be: 0.000 0.500 0.000 [2 per cell]
Si: 0.000 0.000 0.000 [1 per cell]
Ge: 0.500 0.500 0.500 [1 per cell]
N: 0.000 0.000 0.500 [1 per cell]

Properties
Energy relative to the elements, uncorrected   0.958 eV/atom

# BeGeTe2N

Crystalline BeGeTe2N at its relaxed geometry (PBE, the Alexandria database).

Unit cell a=5.604 b=5.604 c=3.501 alpha=90.00 beta=90.00 gamma=90.00
Space group P4/mmm (No. 123)
Unique sites:
Be: 0.000 0.000 0.000 [1 per cell]
Ge: 0.500 0.500 0.500 [1 per cell]
Te: 0.000 0.500 0.500 [2 per cell]
N: 0.500 0.500 0.000 [1 per cell]

Properties
Energy above the most stable polymorph in this dataset   3.168 eV/f.u.
Energy relative to the elements, uncorrected   0.989 eV/atom

# BeGeTe2N

Crystalline BeGeTe2N at its relaxed geometry (PBE, the Alexandria database).

Unit cell a=5.661 b=5.661 c=3.094 alpha=90.00 beta=90.00 gamma=90.00
Space group P4/mmm (No. 123)
Unique sites:
Be: 0.000 0.000 0.000 [1 per cell]
Ge: 0.500 0.500 0.500 [1 per cell]
Te: 0.000 0.500 0.000 [2 per cell]
N: 0.000 0.000 0.500 [1 per cell]

Properties
Energy above the most stable polymorph in this dataset   0.000 eV/f.u.
Energy relative to the elements, uncorrected   0.355 eV/atom

# Be2GeWN

Crystalline Be2GeWN at its relaxed geometry (PBE, the Alexandria database).

Unit cell a=4.554 b=4.554 c=3.850 alpha=90.00 beta=90.00 gamma=90.00
Space group P4/mmm (No. 123)
Unique sites:
Be: 0.000 0.500 0.000 [2 per cell]
Ge: 0.000 0.000 0.500 [1 per cell]
W: 0.500 0.500 0.000 [1 per cell]
N: 0.500 0.500 0.500 [1 per cell]

Properties
Energy relative to the elements, uncorrected   0.967 eV/atom

# NaBeGe3

Crystalline NaBeGe3 at its relaxed geometry (PBE, the Alexandria database).

Unit cell a=4.984 b=4.984 c=4.984 alpha=90.00 beta=90.00 gamma=90.00
Space group Pm-3m (No. 221)
Unique sites:
Na: 0.000 0.000 0.000 [1 per cell]
Be: 0.500 0.500 0.500 [1 per cell]
Ge: 0.000 0.000 0.500 [3 per cell]

Properties
Energy above the most stable polymorph in this dataset   5.576 eV/f.u.
Calculated formation energy   1432 meV/atom

# NaBeGe3

Crystalline NaBeGe3 at its relaxed geometry (PBE, the Alexandria database).

Unit cell a=4.632 b=4.632 c=4.632 alpha=90.00 beta=90.00 gamma=90.00
Space group Pm-3m (No. 221)
Unique sites:
Na: 0.000 0.000 0.000 [1 per cell]
Be: 0.500 0.500 0.500 [1 per cell]
Ge: 0.000 0.500 0.500 [3 per cell]

Properties
Energy above the most stable polymorph in this dataset   0.000 eV/f.u.
Calculated formation energy   317 meV/atom

# NaBeGe2

Crystalline NaBeGe2 at its relaxed geometry (PBE, the Alexandria database).

Unit cell a=4.856 b=4.856 c=15.239 alpha=90.00 beta=90.00 gamma=90.00
Space group I-42d (No. 122)
Unique sites:
Na: 0.000 0.000 0.000 [4 per cell]
Be: 0.000 0.000 0.500 [4 per cell]
Ge: 0.081 0.250 0.625 [8 per cell]

Properties
Calculated formation energy   273 meV/atom